Material: EuEr2Th
Method: DFT, GGA-PBE
State: optimized geometry

Results
Total magnetization ... 22.309 μB/cell
Density of states at the Fermi level ... 14.29 states/eV per cell
Formation energy ... 4.45 kJ/mol of atoms
Energy above the most stable polymorph in this dataset ... 0.000 eV/atom

a b c (Å): 3.6040 3.6040 35.0991
angles (deg): 90.00 90.00 120.00
Closest atoms and distances in Å follow each position.
Space group R-3m (No. 166, hexagonal axes)
Unique sites:
1 Eu 0.0000 0.0000 0.0000  6 Eu 3.60, 6 Er 3.73
2 Er 0.0000 0.0000 0.2452  3 Th 3.45, 6 Er 3.60, 3 Eu 3.73
3 Th 0.0000 0.0000 0.5000  6 Er 3.45, 6 Th 3.60



Material: EuYErTh
Method: DFT, GGA-PBE
State: optimized geometry

Results
Total magnetization ... 32.839 μB/cell
Density of states at the Fermi level ... 29.39 states/eV per cell
Formation energy ... 21.34 kJ/mol of atoms

a b c (Å): 8.1162 8.1162 8.1162
angles (deg): 90.00 90.00 90.00
Closest atoms and distances in Å follow each position.
Space group F-43m (No. 216)
Unique sites:
1 Eu 0.0000 0.0000 0.0000  4 Th 3.51, 4 Y 3.51
2 Y 0.2500 0.2500 0.7500  4 Er 3.51, 4 Eu 3.51
3 Er 0.0000 0.0000 0.5000  4 Th 3.51, 4 Y 3.51
4 Th 0.2500 0.2500 0.2500  4 Er 3.51, 4 Eu 3.51



Material: EuErTl2
Method: DFT, GGA-PBE
State: optimized geometry

Results
Total magnetization ... 29.170 μB/cell
Density of states at the Fermi level ... 29.21 states/eV per cell
Formation energy ... -33.61 kJ/mol of atoms
Energy above the most stable polymorph in this dataset ... 0.033 eV/atom

a b c (Å): 7.7384 7.7384 7.7384
angles (deg): 90.00 90.00 90.00
Closest atoms and distances in Å follow each position.
Space group Fm-3m (No. 225)
Unique sites:
1 Eu 0.0000 0.0000 0.0000  8 Tl 3.35
2 Er 0.0000 0.0000 0.5000  8 Tl 3.35
3 Tl 0.2500 0.2500 0.2500  4 Er 3.35, 4 Eu 3.35



Which of these has the highest formation energy? EuYErTh